Record 1
A plane-wave DFT calculation with GGA-PBE was carried out for a relaxed structure of TbCe3Sm4P8.

Values from the calculation:
**Space group**: No. 166
**V**: 24.14 Å³ per atom
**ΔH_f (0 K)**: -1.56 eV per atom

Unit cell a=8.174 b=8.174 c=8.174 alpha=120.00 beta=120.00 gamma=90.00
Site moments in Bohr magnetons follow the coordinates.
Atoms (fractional coordinates):
Ce (0.500, 0.500, 0.000)  0.41
Ce (0.000, 0.500, 0.500)  0.41
Ce (0.500, 0.500, 0.500)  0.41
P (0.248, 0.745, 0.497)  -0.01
P (0.252, 0.255, 0.003)  -0.01
P (0.749, 0.746, 0.498)  -0.01
P (0.752, 0.255, 0.003)  -0.01
P (0.248, 0.745, 0.997)  -0.01
P (0.251, 0.254, 0.502)  -0.01
P (0.748, 0.745, 0.997)  -0.01
P (0.752, 0.255, 0.503)  -0.01
Sm (0.000, 0.000, 0.000)  0.01
Sm (0.500, 0.000, 0.500)  0.01
Sm (0.000, 0.000, 0.500)  0.01
Sm (0.500, 0.000, 0.000)  0.00
Tb (0.000, 0.500, 0.000)  0.00

Record 2
A plane-wave DFT calculation with GGA-PBE was carried out for a relaxed structure of CeSmTeP.

Values from the calculation:
**Space group**: No. 160
**Uncorrected formation energy**: -1.480 eV/atom
**V**: 27.92 Å³ per atom

Unit cell a=4.167 b=4.168 c=7.805 alpha=90.00 beta=105.48 gamma=120.00
Site moments in Bohr magnetons follow the coordinates.
Atoms (fractional coordinates):
Sm (0.496, 0.146, 0.657)  -0.01
P (0.305, 0.550, 0.871)  -0.01
Ce (0.109, 0.952, 0.076)  0.68
Te (0.968, 0.382, 0.366)  -0.01